No. 1
DFT (SCAN) results for a crystal of ZrSiOs2 relaxed with PBEsol.

a b c (Å): 2.9551 4.6649 5.1625
angles (deg): 116.86 106.63 90.00
Closest atoms and distances in Å follow each position.
Atoms (fractional coordinates):
Si 0.5000 0.0000 0.0000  4 Os 2.44
Os 0.7781 0.7781 0.5562  2 Si 2.44
Os 0.2219 0.2219 0.4438  2 Si 2.44
Zr 0.0000 0.5000 0.0000  4 Si 2.76, 8 Os 2.84-3.03, 2 Zr 2.96

Properties
As for the crystal system: orthorhombic. The total magnetic moment comes out at 0.0 Bohr magnetons per cell. The calculation puts the uncorrected formation energy at -26 kJ per mole of atoms. The value obtained for the density of states at the Fermi level is 3.07 states/eV per cell.

=====

No. 2
DFT (SCAN) results for a crystal of ZrSi2Os relaxed with PBEsol.

a b c (Å): 4.3745 4.3745 4.3745
angles (deg): 60.00 60.00 60.00
Closest atoms and distances in Å follow each position.
Atoms (fractional coordinates):
Si 0.2500 0.2500 0.2500  4 Zr 2.68, 4 Os 2.68
Zr 0.5000 0.5000 0.5000  8 Si 2.68
Si 0.7500 0.7500 0.7500  4 Os 2.68, 4 Zr 2.68
Os 0.0000 0.0000 0.0000  8 Si 2.68

Properties
As for the crystal system: cubic. The total magnetic moment comes out at 1.3 Bohr magnetons per cell. The calculation puts the uncorrected formation energy at -21 kJ per mole of atoms. The value obtained for the density of states at the Fermi level is 3.15 states/eV per cell.

=====

No. 3
DFT (SCAN) results for a crystal of Zr3SiOs relaxed with PBEsol.

a b c (Å): 4.7654 4.7654 4.7654
angles (deg): 90.00 90.00 90.00
Closest atoms and distances in Å follow each position.
Atoms (fractional coordinates):
Zr 0.0000 0.5000 0.0000  2 Si 2.38
Zr 0.5000 0.0000 0.0000  2 Si 2.38
Si 0.0000 0.0000 0.0000  6 Zr 2.38
Os 0.5000 0.5000 0.5000  12 Zr 3.37
Zr 0.0000 0.0000 0.5000  2 Si 2.38

Properties
As for the crystal system: cubic. The total magnetic moment comes out at 0.7 Bohr magnetons per cell. The calculation puts the uncorrected formation energy at 60 kJ per mole of atoms. The value obtained for the density of states at the Fermi level is 6.51 states/eV per cell.

=====

No. 4
DFT (SCAN) results for a crystal of SmOs2 relaxed with PBEsol.

a b c (Å): 5.2798 5.2798 8.9367
angles (deg): 90.00 90.00 120.00
Closest atoms and distances in Å follow each position.
Atoms (fractional coordinates):
Sm 0.6667 0.3333 0.9354  12 Os 3.10-3.18, 4 Sm 3.26-3.31
Os 0.1699 0.3399 0.7500  6 Os 2.59-2.72
Os 0.3399 0.1699 0.2500  6 Os 2.59-2.72
Sm 0.6667 0.3333 0.5646  12 Os 3.10-3.18, 4 Sm 3.26-3.31
Os 0.1699 0.8301 0.7500  6 Os 2.59-2.72
Os 0.8301 0.6601 0.2500  6 Os 2.59-2.72
Os 0.6601 0.8301 0.7500  6 Os 2.59-2.72
Os 0.0000 0.0000 0.0000  6 Os 2.72
Sm 0.3333 0.6667 0.0646  12 Os 3.10-3.18, 4 Sm 3.26-3.31
Os 0.8301 0.1699 0.2500  6 Os 2.59-2.72
Sm 0.3333 0.6667 0.4354  12 Os 3.10-3.18, 4 Sm 3.26-3.31
Os 0.0000 0.0000 0.5000  6 Os 2.72

Properties
As for the crystal system: hexagonal. The total magnetic moment comes out at 0.0 Bohr magnetons per cell. Its formation energy is -0.317 eV per atom. The value obtained for the density of states at the Fermi level is 11.66 states/eV per cell.